ZrNiSbI2: relaxed, GGA-PBE.

## Properties
Energy above the lowest structure with this stoichiometry, meV/atom: 103
DOS at the Fermi energy, states/eV/atom: 1.59
Formation energy (no corrections), meV/atom: 564.7
Magnetization, μB/cell: 1.26

a = 5.611 Å, b = 5.611 Å, c = 5.801 Å
α = 90.00°, β = 90.00°, γ = 90.00°
Element x y z (fractional)
Sb  0.000  0.000  0.500
Ni  0.500  0.500  0.500
Zr  0.000  0.000  0.000
I  0.000  0.500  0.000
I  0.500  0.000  0.000